Compound: ZnCoCu2
Source: the Alexandria database
Functional: PBE
Structure: relaxed

a b c (Å): 2.661 4.244 8.602
angles (deg): 90.00 90.00 90.00
Space group Immm (No. 71)
Inequivalent atoms, fractional coordinates:
1 Zn 0.000 0.000 0.000
2 Co 0.000 0.000 0.500
3 Cu 0.000 0.500 0.248

V	12.1	Å³/atom
uncorrected energy	-32.5	eV/cell
total moment	1.936	μB/cell
DFT formation energy	0.08	eV/atom